Nb2V4Tc | PBE | relaxed

```
Nb2V4Tc
1.0
-2.2315 2.2315 6.4253
2.2315 -2.2315 6.4253
2.2315 2.2315 -6.4253
Nb V Tc
2 4 1
Cartesian
0.0000 0.0000 1.6205
0.0000 0.0000 11.2302
2.2315 0.0000 0.0000
0.0000 0.0000 4.0145
0.0000 2.2315 0.0000
0.0000 0.0000 8.8362
0.0000 0.0000 6.4253
```

Output
The calculation puts the total energy at -8.549 eV/atom.

=====

Nb3VTc | PBE | relaxed

```
Nb3VTc
1.0
5.1268 -1.5957 0.0000
5.1268 1.5957 0.0000
-0.0957 0.0000 10.1046
Nb V Tc
6 2 2
Cartesian
1.4747 0.0000 0.4674
2.5328 0.0000 7.5799
3.6070 0.0000 4.5518
6.5509 0.0000 5.5528
7.6252 0.0000 2.5247
8.6833 0.0000 9.6372
4.6139 0.0000 1.5627
5.5440 0.0000 8.5419
0.4563 0.0000 3.5045
9.7016 0.0000 6.6001
```

Output
The calculation puts the excess energy over the best structure of this formula in the dataset at 16.4 meV per atom.

=====

NbV6Tc5 | PBE | relaxed

```
NbV6Tc5
1.0
-2.1509 3.0457 6.4806
2.1509 -3.0457 6.4806
2.1509 3.0457 -6.4806
Nb V Tc
1 6 5
Cartesian
0.0000 0.0000 0.0000
2.1509 -1.5105 4.2945
2.1509 1.5524 0.0000
0.0000 1.5352 2.1860
2.1509 1.5105 4.2945
0.0000 1.4933 6.4806
0.0000 4.5562 2.1860
2.1509 0.0000 2.1849
0.0000 0.0000 4.3210
0.0000 3.0457 0.0000
0.0000 0.0000 8.6401
0.0000 3.0457 4.2957
```

Output
The calculation puts the total energy at -10.035 eV/atom.

=====

Nb2VTc | PBE | relaxed

```
Nb2VTc
1.0
-1.5048 2.2174 5.1800
1.5048 -2.2174 5.1800
1.5048 2.2174 -5.1800
Nb V Tc
2 1 1
Cartesian
0.0000 0.0000 2.5657
0.0000 0.0000 7.7944
0.0000 0.0000 5.1800
0.0000 0.0000 0.0000
```

Output
The calculation puts the excess energy over the best structure of this formula in the dataset at 806.9 meV per atom.

=====

Nb6VTc | PBE | relaxed

```
Nb6VTc
1.0
-2.2913 2.2913 6.5387
2.2913 -2.2913 6.5387
2.2913 2.2913 -6.5387
Nb V Tc
6 1 1
Cartesian
2.2913 0.0000 1.5677
0.0000 0.0000 3.2200
2.2913 0.0000 4.9710
0.0000 2.2913 1.5677
0.0000 0.0000 9.8574
0.0000 2.2913 4.9710
0.0000 0.0000 0.0000
0.0000 0.0000 6.5387
```

Output
The calculation puts the excess energy over the best structure of this formula in the dataset at 0.0 meV per atom.

=====

NbV3Tc | PBE | relaxed

```
NbV3Tc
1.0
5.0933 0.0000 0.0000
0.1929 5.1619 0.0000
2.2062 1.2522 5.7257
Nb V Tc
2 6 2
Cartesian
1.1735 1.9290 1.9476
6.3189 4.4851 3.7782
2.4648 1.8916 4.7205
3.6608 4.3516 5.1341
2.4427 4.5865 1.0926
5.0496 1.8277 4.6331
3.8315 2.0626 0.5916
5.0275 4.5226 1.0052
3.6497 0.6261 2.8629
3.7462 3.2071 2.8629
```

Output
The calculation puts the excess energy over the best structure of this formula in the dataset at 0.0 meV per atom.

=====

NbVTc2 | PBE | relaxed

```
NbVTc2
1.0
-1.3884 2.3345 4.9761
1.3884 -2.3345 4.9761
1.3884 2.3345 -4.9761
Nb V Tc
1 1 2
Cartesian
0.0000 0.0000 0.0000
0.0000 0.0000 4.9761
0.0000 0.0000 2.7397
0.0000 0.0000 7.2124
```

Output
The calculation puts the total energy at -9.494 eV/atom.

=====

NbV4Tc5 | PBE | relaxed

```
NbV4Tc5
1.0
3.0633 0.0000 0.0000
0.0000 3.0633 0.0000
0.0000 0.0000 15.3112
Nb V Tc
1 4 5
Cartesian
0.0000 0.0000 0.0000
0.0000 0.0000 3.1496
0.0000 0.0000 6.1540
0.0000 0.0000 9.1572
0.0000 0.0000 12.1616
1.5316 1.5316 1.6605
1.5316 1.5316 4.6537
1.5316 1.5316 7.6556
1.5316 1.5316 10.6576
1.5316 1.5316 13.6508
```

Output
The calculation puts the total energy at -10.178 eV/atom.

=====

Nb2VTc3 | PBE | relaxed

```
Nb2VTc3
1.0
3.1450 0.0000 0.0000
0.0000 3.1450 0.0000
0.0000 0.0000 9.4187
Nb V Tc
2 1 3
Cartesian
0.0000 0.0000 1.6152
0.0000 0.0000 7.8035
0.0000 0.0000 4.7094
1.5725 1.5725 0.0000
1.5725 1.5725 3.2268
1.5725 1.5725 6.1919
```

Output
The calculation puts the total energy at -10.382 eV/atom.

=====

Nb3VTc | PBE | relaxed

```
Nb3VTc
1.0
6.6472 -2.2606 0.0000
6.6472 2.2606 0.0000
-0.7532 0.0000 5.5089
Nb V Tc
6 2 2
Cartesian
-0.1142 0.0000 1.4022
2.2143 0.0000 3.5741
5.2216 0.0000 0.2824
7.3196 0.0000 5.2266
10.3269 0.0000 1.9348
12.6554 0.0000 4.1067
4.9557 0.0000 3.0232
7.5856 0.0000 2.4858
2.5517 0.0000 0.8420
9.9896 0.0000 4.6669
```

Output
The calculation puts the excess energy over the best structure of this formula in the dataset at 0.0 meV per atom.

=====

NbVTc2 | PBE | relaxed

```
NbVTc2
1.0
-3.4761 3.4761 2.6736
3.4761 -3.4761 2.6736
3.4761 3.4761 -2.6736
Nb V Tc
2 2 4
Cartesian
0.0000 0.0000 0.0000
0.0000 3.4761 1.3368
3.4761 0.0000 1.3368
0.0000 0.0000 2.6736
1.7381 1.8766 -0.6684
5.0757 1.7381 0.6684
1.7381 1.5995 2.0052
-1.5995 1.7381 3.3420
```

Output
The calculation puts the total energy at -9.513 eV/atom.

=====

NbV2Tc2 | PBE | relaxed

```
NbV2Tc2
1.0
7.2446 0.0000 0.0000
0.0000 7.2446 0.0000
0.0000 0.0000 2.8838
Nb V Tc
2 4 4
Cartesian
0.0000 0.0000 0.0000
3.6223 3.6223 0.0000
1.0516 2.5707 0.0000
2.5707 6.1930 0.0000
4.6739 1.0516 0.0000
6.1930 4.6739 0.0000
1.1314 4.7536 1.4419
2.4909 1.1314 1.4419
4.7536 6.1132 1.4419
6.1132 2.4909 1.4419
```

Output
The calculation puts the excess energy over the best structure of this formula in the dataset at 37.4 meV per atom.